(1)
! SnPbO3 PBE optimized geometry; values from VASP
! ΔE_f (raw) (eV/f.u.): -6.92
! Symmetry: Pbam
&SYSTEM
  ibrav = 0, nat = 40, ntyp = 3
/
ATOMIC_SPECIES
Sn 118.71 Sn.upf
Pb 207.20 Pb.upf
O 16.00 O.upf
ATOMIC_POSITIONS angstrom
Sn 1.4454 1.4715 2.0518
Sn 1.4454 1.4715 6.1398
Sn 1.4778 7.3652 2.0518
Sn 1.4778 7.3652 6.1398
Sn 4.3686 4.4223 2.0518
Sn 4.3686 4.4223 6.1398
Sn 4.4010 10.3160 2.0518
Sn 4.4010 10.3160 6.1398
Pb 1.3067 4.3462 0.0000
Pb 1.3444 4.4919 4.0958
Pb 1.5788 10.3857 4.0958
Pb 1.6166 10.2400 0.0000
Pb 4.2299 1.5475 0.0000
Pb 4.2676 1.4018 4.0958
Pb 4.5021 7.2956 4.0958
Pb 4.5398 7.4412 0.0000
O 0.0000 0.0000 2.3710
O 0.0000 0.0000 5.8206
O 0.0000 5.8937 2.4196
O 0.0000 5.8937 5.7721
O 0.1133 3.0313 1.7242
O 0.1133 3.0313 6.4674
O 1.2520 6.9724 0.0000
O 1.3506 7.7824 4.0958
O 1.5727 1.8887 4.0958
O 1.6713 1.0786 0.0000
O 2.8100 8.9250 1.7242
O 2.8100 8.9250 6.4674
O 2.9232 0.0000 2.4196
O 2.9232 0.0000 5.7721
O 2.9232 5.8937 2.3710
O 2.9232 5.8937 5.8206
O 3.0365 2.8625 1.7242
O 3.0365 2.8625 6.4674
O 4.1752 10.7088 0.0000
O 4.2738 9.8988 4.0958
O 4.4959 4.0051 4.0958
O 4.5945 4.8151 0.0000
O 5.7332 8.7562 1.7242
O 5.7332 8.7562 6.4674
CELL_PARAMETERS angstrom
5.8465 0.0000 0.0000
0.0000 11.7875 0.0000
0.0000 0.0000 8.1917

=====

(2)
! CaAl2Zn9 PBE optimized geometry; values from VASP
! ΔH_f (0 K) (meV/atom): -6
! Density of states at the Fermi level (states/eV/cell): 3.84
! Symmetry: P6/mmm
! Energy above the most stable polymorph in this dataset (meV/atom): 112.3
&SYSTEM
  ibrav = 0, nat = 12, ntyp = 3
/
ATOMIC_SPECIES
Ca 40.08 Ca.upf
Al 26.98 Al.upf
Zn 65.41 Zn.upf
ATOMIC_POSITIONS angstrom
Ca 0.0000 0.0000 0.0000
Al 0.0000 4.9882 0.0000
Al 4.3199 2.4941 0.0000
Zn -2.1600 3.7412 0.0000
Zn 0.0000 2.7494 1.6304
Zn -1.9389 6.1076 1.6304
Zn 2.3810 1.3747 1.6304
Zn 4.3199 0.0000 0.0000
Zn 2.1600 3.7412 0.0000
Zn 1.9389 6.1076 1.6304
Zn 6.2588 1.3747 1.6304
Zn 4.3199 4.7329 1.6304
CELL_PARAMETERS angstrom
8.6398 0.0000 0.0000
-4.3199 7.4823 0.0000
0.0000 0.0000 3.2608

=====

(3)
! LiSbO3 PBE optimized geometry; values from VASP
! ΔE_f (raw) (eV/f.u.): -6.98
! Density of states at the Fermi level (states/eV/cell): 0.31
! Symmetry: Pm-3m
&SYSTEM
  ibrav = 0, nat = 5, ntyp = 3
/
ATOMIC_SPECIES
Li 6.94 Li.upf
Sb 121.76 Sb.upf
O 16.00 O.upf
ATOMIC_POSITIONS angstrom
Li 0.0000 0.0000 0.0000
Sb 1.9471 1.9471 1.9471
O 0.0000 1.9471 1.9471
O 1.9471 0.0000 1.9471
O 1.9471 1.9471 0.0000
CELL_PARAMETERS angstrom
3.8943 0.0000 0.0000
0.0000 3.8943 0.0000
0.0000 0.0000 3.8943